Record 1
The following is a PBE calculation of a geometry-optimized Ba2TlPbS5 structure, from Alexandria via LeMat-Bulk.

Properties
* V: 1023.9 Å³/cell
* E_form (uncorrected): -1.045 eV/atom

a = 4.2754 Å, b = 18.8571 Å, c = 12.6999 Å
α = 90.00°, β = 90.00°, γ = 90.00°
Space group Cmc2_1 (No. 36)
Inequivalent atoms, fractional coordinates:
Ba 0.0000 0.1123 0.0000
Ba 0.0000 0.1281 0.6237
Tl 0.0000 0.4438 0.7666
Pb 0.0000 0.2219 0.3375
S 0.0000 0.0478 0.3801
S 0.0000 0.2818 0.9844
S 0.0000 0.3106 0.6867
S 0.0000 0.3613 0.3150
S 0.0000 0.4977 0.0891

Record 2
The following is a PBE calculation of a geometry-optimized Ba2UPbS6 structure, from Alexandria via LeMat-Bulk.

Properties
* V: 583.0 Å³/cell
* E_form (uncorrected): -1.443 eV/atom

a = 12.6746 Å, b = 7.3306 Å, c = 7.5848 Å
α = 90.00°, β = 124.18°, γ = 90.00°
Space group C2/m (No. 12)
Inequivalent atoms, fractional coordinates:
Ba 0.2461 0.0000 0.2291
U 0.0000 0.5000 0.0000
Pb 0.0000 0.0000 0.5000
S 0.0614 0.2584 0.8303
S 0.2292 0.5000 0.3318

Record 3
The following is a PBE calculation of a geometry-optimized BaUPb2S6 structure, from Alexandria via LeMat-Bulk.

Properties
* V: 897.9 Å³/cell
* E_form (uncorrected): -1.077 eV/atom

a = 7.3498 Å, b = 7.3498 Å, c = 19.1927 Å
α = 90.00°, β = 90.00°, γ = 120.00°
Space group R3 (No. 146, hexagonal axes)
Inequivalent atoms, fractional coordinates:
Ba 0.0000 0.0000 0.0000
U 0.0000 0.0000 0.4834
Pb 0.0000 0.0000 0.2831
Pb 0.0000 0.0000 0.7963
S 0.0232 0.3863 0.2213
S 0.0230 0.7398 0.3980

Record 4
The following is a PBE calculation of a geometry-optimized Ba2UPbS5 structure, from Alexandria via LeMat-Bulk.

Properties
* V: 1086.8 Å³/cell
* E_form (uncorrected): -1.468 eV/atom

a = 4.2570 Å, b = 17.9613 Å, c = 14.2134 Å
α = 90.00°, β = 90.00°, γ = 90.00°
Space group Cmc2_1 (No. 36)
Inequivalent atoms, fractional coordinates:
Ba 0.0000 0.0843 0.0000
Ba 0.0000 0.1371 0.6415
U 0.0000 0.2263 0.3711
Pb 0.0000 0.4536 0.7917
S 0.0000 0.0831 0.4146
S 0.0000 0.2611 0.9965
S 0.0000 0.2974 0.7505
S 0.0000 0.3718 0.3322
S 0.0000 0.4914 0.1050

Record 5
The following is a PBE calculation of a geometry-optimized BaVPbS4 structure, from Alexandria via LeMat-Bulk.

Properties
* V: 377.9 Å³/cell
* E_form (uncorrected): -1.086 eV/atom

a = 6.8580 Å, b = 6.7320 Å, c = 8.6140 Å
α = 90.00°, β = 108.15°, γ = 90.00°
Space group P2_1/m (No. 11)
Inequivalent atoms, fractional coordinates:
Ba 0.2222 0.2500 0.4282
V 0.2837 0.7500 0.1973
Pb 0.2585 0.2500 0.9477
S 0.0869 0.7500 0.3606
S 0.0987 0.7500 0.9362
S 0.4970 0.0023 0.2489

Record 6
The following is a PBE calculation of a geometry-optimized BaPbW2S structure, from Alexandria via LeMat-Bulk.

Properties
* V: 123.8 Å³/cell
* E_form (uncorrected): 0.849 eV/atom

a = 4.6095 Å, b = 4.6095 Å, c = 5.8261 Å
α = 90.00°, β = 90.00°, γ = 90.00°
Space group P4/mmm (No. 123)
Inequivalent atoms, fractional coordinates:
Ba 0.0000 0.0000 0.0000
Pb 0.5000 0.5000 0.0000
W 0.0000 0.5000 0.5000
S 0.5000 0.5000 0.5000